The following is a DFT calculation (PBE) of a geometry-optimized Mg3BePt4 structure.

Output
Calculated formation energy (eV per atom): -0.8431

Lattice parameters (Å, degrees): 2.9118 2.9118 13.9102 90.00 90.00 90.00
Closest atoms and distances in Å follow each position.
Sites, in units of the cell vectors:
1 Mg 0.0000 0.0000 0.0000  8 Pt 2.76, 4 Mg 2.91
2 Mg 0.0000 0.0000 0.2643  8 Pt 2.76-2.78, 4 Mg 2.91
3 Mg 0.0000 0.0000 0.7357  8 Pt 2.76-2.78, 4 Mg 2.91
4 Be 0.0000 0.0000 0.5000  8 Pt 2.50
5 Pt 0.5000 0.5000 0.1323  8 Mg 2.76, 4 Pt 2.91
6 Pt 0.5000 0.5000 0.3985  4 Be 2.50, 4 Mg 2.78
7 Pt 0.5000 0.5000 0.6015  4 Be 2.50, 4 Mg 2.78
8 Pt 0.5000 0.5000 0.8677  8 Mg 2.76, 4 Pt 2.91